(1)
# Pm5Dy4Tm

A relaxed structure of Pm5Dy4Tm (PBE, Alexandria).

## Properties
Total energy (eV/cell): -46.467
Formation enthalpy at 0 K (eV/atom): 0.017
E above lowest polymorph (eV/atom): 0.000

CIF file:
```
data_Pm5Dy4Tm
_chemical_formula_sum 'Pm5 Dy4 Tm1'
_space_group_name_H-M_alt 'P 4/m m m'
_space_group_IT_number 123
_space_group_name_Hall '-P 4 2'
_cell_length_a 3.602
_cell_length_b 3.602
_cell_length_c 25.192
_cell_angle_alpha 90.00
_cell_angle_beta 90.00
_cell_angle_gamma 90.00
loop_
_atom_site_label
_atom_site_fract_x
_atom_site_fract_y
_atom_site_fract_z
Pm1 0.000 0.000 0.000
Pm2 0.000 0.000 0.201
Pm3 0.000 0.000 0.401
Dy1 0.500 0.500 0.100
Dy2 0.500 0.500 0.301
Tm1 0.500 0.500 0.500
```

=====

(2)
# KSnAu

A relaxed structure of KSnAu (PBE, Alexandria).

## Properties
Total energy (eV/cell): -18.243
Formation enthalpy at 0 K (eV/atom): -0.248

CIF file:
```
data_KSnAu
_chemical_formula_sum 'K2 Sn2 Au2'
_space_group_name_H-M_alt 'I 4 m m'
_space_group_IT_number 107
_space_group_name_Hall 'I 4 -2'
_cell_length_a 3.824
_cell_length_b 3.824
_cell_length_c 12.295
_cell_angle_alpha 90.00
_cell_angle_beta 90.00
_cell_angle_gamma 90.00
loop_
_atom_site_label
_atom_site_fract_x
_atom_site_fract_y
_atom_site_fract_z
K1 0.000 0.000 0.000
Sn1 0.000 0.000 0.715
Au1 0.000 0.000 0.290
```

=====

(3)
# Tb2Ce3HoS6

A relaxed structure of Tb2Ce3HoS6 (PBE, Alexandria).

## Properties
Total energy (eV/cell): -161.590
E_form (uncorrected) (eV per atom): -2.033

CIF file:
```
data_Tb2Ce3HoS6
_chemical_formula_sum 'Tb4 Ce6 Ho2 S12'
_space_group_name_H-M_alt 'C 1 2/m 1'
_space_group_IT_number 12
_cell_length_a 6.843
_cell_length_b 11.862
_cell_length_c 6.932
_cell_angle_alpha 90.00
_cell_angle_beta 109.26
_cell_angle_gamma 90.00
loop_
_space_group_symop_operation_xyz
'x,y,z'
'-x,-y,-z'
'-x,y,-z'
'x,-y,z'
'x+1/2,y+1/2,z'
'-x+1/2,-y+1/2,-z'
'-x+1/2,y+1/2,-z'
'x+1/2,-y+1/2,z'
loop_
_atom_site_label
_atom_site_fract_x
_atom_site_fract_y
_atom_site_fract_z
Tb1 0.000 0.167 0.000
Ce1 0.000 0.000 0.500
Ce2 0.000 0.332 0.500
Ho1 0.000 0.500 0.000
S1 0.245 0.334 0.238
S2 0.249 0.000 0.239
```

=====

(4)
# Tb2Ti2SnRh5

A relaxed structure of Tb2Ti2SnRh5 (PBE, Alexandria).

## Properties
Total energy (eV/cell): -144.277
Formation enthalpy at 0 K (eV/atom): -0.633

CIF file:
```
data_Tb2Ti2SnRh5
_chemical_formula_sum 'Tb4 Ti4 Sn2 Rh10'
_space_group_name_H-M_alt 'P 4/m b m'
_space_group_IT_number 127
_space_group_name_Hall '-P 4 2ab'
_cell_length_a 9.960
_cell_length_b 9.960
_cell_length_c 3.675
_cell_angle_alpha 90.00
_cell_angle_beta 90.00
_cell_angle_gamma 90.00
loop_
_atom_site_label
_atom_site_fract_x
_atom_site_fract_y
_atom_site_fract_z
Tb1 0.181 0.319 0.000
Ti1 0.118 0.618 0.000
Sn1 0.000 0.000 0.000
Rh1 0.000 0.500 0.500
Rh2 0.064 0.788 0.500
```

=====

(5)
# TlTePt3

A relaxed structure of TlTePt3 (PBE, Alexandria).

## Properties
Total energy (eV/cell): -17.836
E_form (uncorrected) (eV per atom): 1.159
E above lowest polymorph (eV/atom): 0.649

CIF file:
```
data_TlTePt3
_chemical_formula_sum 'Tl1 Te1 Pt3'
_space_group_name_H-M_alt 'P m -3 m'
_space_group_IT_number 221
_space_group_name_Hall '-P 4 2 3'
_cell_length_a 5.038
_cell_length_b 5.038
_cell_length_c 5.038
_cell_angle_alpha 90.00
_cell_angle_beta 90.00
_cell_angle_gamma 90.00
loop_
_atom_site_label
_atom_site_fract_x
_atom_site_fract_y
_atom_site_fract_z
Tl1 0.000 0.000 0.000
Te1 0.500 0.500 0.500
Pt1 0.000 0.000 0.500
```

=====

(6)
# RePPd

A relaxed structure of RePPd (PBE, Alexandria).

## Properties
Total energy (eV/cell): -91.700
Formation enthalpy at 0 K (eV/atom): 0.042

CIF file:
```
data_RePPd
_chemical_formula_sum 'Re4 P4 Pd4'
_space_group_name_H-M_alt 'P 1 21/c 1'
_space_group_IT_number 14
_cell_length_a 6.951
_cell_length_b 5.640
_cell_length_c 4.838
_cell_angle_alpha 90.00
_cell_angle_beta 110.14
_cell_angle_gamma 90.00
loop_
_space_group_symop_operation_xyz
'x,y,z'
'-x,-y,-z'
'-x,y+1/2,-z+1/2'
'x,-y+1/2,z+1/2'
loop_
_atom_site_label
_atom_site_fract_x
_atom_site_fract_y
_atom_site_fract_z
Re1 0.184 0.132 0.093
P1 0.120 0.749 0.810
Pd1 0.392 0.557 0.197
```

=====

(7)
# SmGe12Os4

A relaxed structure of SmGe12Os4 (PBE, Alexandria).

## Properties
Total energy (eV/cell): -206.722
Formation enthalpy at 0 K (eV/atom): 0.099

CIF file:
```
data_SmGe12Os4
_chemical_formula_sum 'Sm2 Ge24 Os8'
_space_group_name_H-M_alt 'I m -3'
_space_group_IT_number 204
_space_group_name_Hall '-I 2 2 3'
_cell_length_a 8.751
_cell_length_b 8.751
_cell_length_c 8.751
_cell_angle_alpha 90.00
_cell_angle_beta 90.00
_cell_angle_gamma 90.00
loop_
_atom_site_label
_atom_site_fract_x
_atom_site_fract_y
_atom_site_fract_z
Sm1 0.000 0.000 0.000
Ge1 0.000 0.339 0.155
Os1 0.250 0.250 0.250
```

=====

(8)
# Al3FeC

A relaxed structure of Al3FeC (PBE, Alexandria).

## Properties
Total energy (eV/cell): -22.548
Formation enthalpy at 0 K (eV/atom): 1.273
E above lowest polymorph (eV/atom): 0.856

CIF file:
```
data_Al3FeC
_chemical_formula_sum 'Al3 Fe1 C1'
_space_group_name_H-M_alt 'P m -3 m'
_space_group_IT_number 221
_space_group_name_Hall '-P 4 2 3'
_cell_length_a 4.437
_cell_length_b 4.437
_cell_length_c 4.437
_cell_angle_alpha 90.00
_cell_angle_beta 90.00
_cell_angle_gamma 90.00
loop_
_atom_site_label
_atom_site_fract_x
_atom_site_fract_y
_atom_site_fract_z
Al1 0.000 0.000 0.500
Fe1 0.000 0.000 0.000
C1 0.500 0.500 0.500
```

=====

Among the records above, which one has the lowest total energy?
SmGe12Os4